(1)
Entry from the Alexandria database: crystalline Rb2RhAu at its relaxed geometry (PBE).

Cell: 4.4892 4.4892 22.3962 Å, 90.00 90.00 90.00°
Space group I-42d (No. 122)
Inequivalent atoms, fractional coordinates:
Rb  0.2458  0.2500  0.1250 (multiplicity 8)
Rh  0.0000  0.0000  0.0000 (multiplicity 4)
Au  0.0000  0.0000  0.5000 (multiplicity 4)

Electronic total energy (eV/cell): -38.75
ΔE to the lowest computed polymorph (eV per formula unit): 0.24
Total moment (μB per formula unit): 0.00

***

(2)
Entry from the Alexandria database: crystalline Dy4AlAg2Pd at its relaxed geometry (PBE).

Cell: 5.0918 5.0918 24.9113 Å, 90.00 90.00 120.00°
Space group R-3m (No. 166, hexagonal axes)
Inequivalent atoms, fractional coordinates:
Dy  0.0000  0.0000  0.1203 (multiplicity 6)
Dy  0.0000  0.0000  0.3718 (multiplicity 6)
Al  0.0000  0.0000  0.5000 (multiplicity 3)
Ag  0.0000  0.0000  0.2426 (multiplicity 6)
Pd  0.0000  0.0000  0.0000 (multiplicity 3)

Electronic total energy (eV/cell): -110.76
Total moment (μB per formula unit): 0.00

***

(3)
Entry from the Alexandria database: crystalline CsZnAg2P at its relaxed geometry (PBE).

Cell: 5.2655 5.2655 4.8037 Å, 90.00 90.00 90.00°
Space group P4/mmm (No. 123)
Inequivalent atoms, fractional coordinates:
Cs  0.0000  0.0000  0.0000 (multiplicity 1)
Zn  0.5000  0.5000  0.5000 (multiplicity 1)
Ag  0.0000  0.5000  0.5000 (multiplicity 2)
P  0.5000  0.5000  0.0000 (multiplicity 1)

Electronic total energy (eV/cell): -11.91
Total moment (μB per formula unit): 0.00

***

(4)
Entry from the Alexandria database: crystalline SrSnSb2I at its relaxed geometry (PBE).

Cell: 6.1313 6.1313 6.0386 Å, 90.00 90.00 90.00°
Space group P4/mmm (No. 123)
Inequivalent atoms, fractional coordinates:
Sr  0.0000  0.0000  0.0000 (multiplicity 1)
Sn  0.5000  0.5000  0.5000 (multiplicity 1)
Sb  0.0000  0.5000  0.0000 (multiplicity 2)
I  0.0000  0.0000  0.5000 (multiplicity 1)

E_form (uncorrected) (meV per atom): 424.9
Electronic total energy (eV/cell): -13.36
ΔE to the lowest computed polymorph (eV per formula unit): 2.58
Total moment (μB per formula unit): 0.64

***

(5)
Entry from the Alexandria database: crystalline Rb2PaCuS4 at its relaxed geometry (PBE).

Cell: 7.3661 7.3661 9.2252 Å, 90.00 90.00 90.00°
Space group I-4 (No. 82)
Inequivalent atoms, fractional coordinates:
Rb  0.0000  0.0000  0.0000 (multiplicity 2)
Rb  0.0000  0.5000  0.2500 (multiplicity 2)
Pa  0.0000  0.0000  0.5000 (multiplicity 2)
Cu  0.0000  0.5000  0.7500 (multiplicity 2)
S  0.1512  0.7438  0.6377 (multiplicity 8)

E_form (uncorrected) (meV per atom): -1061.3
Electronic total energy (eV/cell): -81.06
Total moment (μB per formula unit): 0.00

***

(6)
Entry from the Alexandria database: crystalline KTa2TeO8 at its relaxed geometry (PBE).

Cell: 8.5956 6.3322 7.3216 Å, 90.00 106.52 90.00°
Space group C2/m (No. 12)
Inequivalent atoms, fractional coordinates:
K  0.0000  0.0000  0.0000 (multiplicity 2)
Ta  0.0583  0.5000  0.2259 (multiplicity 4)
Te  0.0000  0.0000  0.5000 (multiplicity 2)
O  0.0116  0.2320  0.7047 (multiplicity 8)
O  0.1495  0.5000  0.0188 (multiplicity 4)
O  0.2447  0.0000  0.5702 (multiplicity 4)

E_form (uncorrected) (meV per atom): -2071.3
Electronic total energy (eV/cell): -184.93
Total moment (μB per formula unit): 0.00

***

Please write out number 6 again, unchanged.
Entry from the Alexandria database: crystalline KTa2TeO8 at its relaxed geometry (PBE).

Cell: 8.5956 6.3322 7.3216 Å, 90.00 106.52 90.00°
Space group C2/m (No. 12)
Inequivalent atoms, fractional coordinates:
K  0.0000  0.0000  0.0000 (multiplicity 2)
Ta  0.0583  0.5000  0.2259 (multiplicity 4)
Te  0.0000  0.0000  0.5000 (multiplicity 2)
O  0.0116  0.2320  0.7047 (multiplicity 8)
O  0.1495  0.5000  0.0188 (multiplicity 4)
O  0.2447  0.0000  0.5702 (multiplicity 4)

E_form (uncorrected) (meV per atom): -2071.3
Electronic total energy (eV/cell): -184.93
Total moment (μB per formula unit): 0.00